No. 1
! Tb3Ho, PBEsol geometry, DFT meta-GGA SCAN; values from VASP
! energy relative to the elements: 0.017 eV per atom
! volume: 29.53 Å³ per atom
! total DFT energy (no corrections): -47.302 eV per atom
&SYSTEM
  ibrav = 0, nat = 4, ntyp = 2
/
ATOMIC_SPECIES
Tb 158.93 Tb.upf
Ho 164.93 Ho.upf
CELL_PARAMETERS angstrom
-1.1579 2.6571 -3.9582
-0.1950 -4.0962 -2.6927
-4.0885 0.2412 4.3982
ATOMIC_POSITIONS angstrom
Tb -0.6764 -0.7196 -3.3254
Ho 0.0000 0.0000 0.0000
Tb -2.4799 -2.2873 -0.8100
Tb -2.9614 1.0893 -1.4427

No. 2
! Tb3Ho, PBEsol geometry, DFT meta-GGA SCAN; values from VASP
! energy relative to the elements: 0.017 eV per atom
! volume: 29.53 Å³ per atom
! total DFT energy (no corrections): -47.302 eV per atom
&SYSTEM
  ibrav = 0, nat = 4, ntyp = 2
/
ATOMIC_SPECIES
Tb 158.93 Tb.upf
Ho 164.93 Ho.upf
CELL_PARAMETERS angstrom
-3.6708 3.2188 0.4898
-3.2531 -3.5951 -0.7542
-0.1359 -0.8890 4.8236
ATOMIC_POSITIONS angstrom
Tb -1.9033 1.1649 2.6567
Tb -3.4620 -0.1881 -0.1322
Ho 0.0000 0.0000 0.0000
Tb -1.6945 -2.2420 2.0347

No. 3
! TbHo, PBEsol geometry, DFT meta-GGA SCAN; values from VASP
! energy relative to the elements: 0.012 eV per atom
! volume: 29.77 Å³ per atom
! total DFT energy (no corrections): -47.863 eV per atom
&SYSTEM
  ibrav = 0, nat = 2, ntyp = 2
/
ATOMIC_SPECIES
Ho 164.93 Ho.upf
Tb 158.93 Tb.upf
CELL_PARAMETERS angstrom
3.5248 0.0000 0.0000
-1.7624 3.0526 0.0000
0.0000 0.0000 5.5344
ATOMIC_POSITIONS angstrom
Ho 1.7624 1.0175 2.7672
Tb 0.0000 0.0000 0.0000

Number 1: density 9.02 Mg/m³. Number 2: density 9.02 Mg/m³. Number 3: density 9.03 Mg/m³.